The following is a DFT calculation (PBE+U) of CrFe2CO after structural relaxation.

Unit cell a=4.7641 b=4.7641 c=3.4951 alpha=90.00 beta=90.00 gamma=90.00
Closest atoms and distances in Å follow each position.
Fractional positions:
Cr 0.0000 0.0000 0.0000  2 O 1.75
Fe 0.0000 0.5000 0.0000  2 Cr 2.38
Fe 0.5000 0.0000 0.0000  2 Cr 2.38
C 0.5000 0.5000 0.5000  8 Fe 2.95
O 0.0000 0.0000 0.5000  2 Cr 1.75

Summary:
Calculated total energy ... -4.757 eV/atom